[1]
The following is a DFT calculation (SCAN) of a crystal of Sr3Li2 relaxed with PBEsol.

Properties
**DFT formation energy**: -0.007 eV per atom
**Volume**: 792.29 Å³/cell

Unit cell a=8.5639 b=9.6185 c=9.6185 alpha=90.00 beta=90.00 gamma=90.00
Fractional coordinates of all 20 atoms:
Sr1 0.5000 0.6493 0.6493
Sr2 0.0000 0.8507 0.1493
Sr3 0.7500 0.5000 0.0000
Li1 0.8189 0.6130 0.3870
Li2 0.3189 0.1130 0.1130
Sr4 0.0000 0.7127 0.7127
Sr5 0.2500 0.5000 0.0000
Li3 0.8189 0.3870 0.6130
Li4 0.1811 0.3870 0.6130
Sr6 0.0000 0.2873 0.2873
Sr7 0.2500 0.0000 0.5000
Sr8 0.5000 0.2127 0.7873
Li5 0.6811 0.1130 0.1130
Li6 0.3189 0.8870 0.8870
Sr9 0.7500 0.0000 0.5000
Sr10 0.0000 0.1493 0.8507
Li7 0.1811 0.6130 0.3870
Sr11 0.5000 0.7873 0.2127
Sr12 0.5000 0.3507 0.3507
Li8 0.6811 0.8870 0.8870

---

[2]
The following is a DFT calculation (SCAN) of a crystal of TlAsCl relaxed with PBEsol.

Properties
**Offset from the most stable computed form**: 0 meV/atom
**Volume**: 77.77 Å³/cell

Unit cell a=3.2055 b=5.2747 c=5.5389 alpha=118.43 beta=106.82 gamma=90.00
Fractional coordinates of all 3 atoms:
Tl1 0.6421 0.6421 0.2842
Cl1 0.3019 0.3019 0.6038
As1 0.0560 0.0560 0.1120

---

[3]
The following is a DFT calculation (SCAN) of a crystal of LiReSe relaxed with PBEsol.

Properties
**Offset from the most stable computed form**: 0 meV/atom
**Volume**: 49.42 Å³/cell

Unit cell a=3.0217 b=3.0217 c=6.2501 alpha=90.00 beta=90.00 gamma=120.00
Fractional coordinates of all 3 atoms:
Se1 0.6667 0.3333 0.3666
Li1 0.0000 0.0000 0.9938
Re1 0.3333 0.6667 0.6397